[1]
Entry from the Alexandria database: a crystal of Pr3RhBr3 relaxed with PBEsol (meta-GGA SCAN).

Structure (CIF):
```
data_Pr3RhBr3
_chemical_formula_sum 'Pr12 Rh4 Br12'
_cell_length_a 10.292
_cell_length_b 10.292
_cell_length_c 10.292
_cell_angle_alpha 109.47
_cell_angle_beta 109.47
_cell_angle_gamma 109.47
_symmetry_space_group_name_H-M 'P 1'
_symmetry_Int_Tables_number 1
_symmetry_space_group_name_Hall 'P 1'
loop_
_atom_site_label
_atom_site_fract_x
_atom_site_fract_y
_atom_site_fract_z
Pr1 0.527 0.763 0.013
Pr2 0.250 0.513 0.487
Pr3 0.250 0.737 0.263
Pr4 0.763 0.250 0.237
Pr5 0.737 0.973 0.487
Pr6 0.973 0.987 0.237
Pr7 0.987 0.250 0.013
Pr8 0.513 0.527 0.263
Pr9 0.513 0.987 0.750
Pr10 0.987 0.737 0.473
Pr11 0.737 0.763 0.750
Pr12 0.763 0.513 0.027
Rh1 0.750 0.000 0.000
Rh2 0.500 0.750 0.500
Rh3 0.000 0.500 0.250
Rh4 0.750 0.750 0.250
Br1 0.750 0.492 0.508
Br2 0.483 0.242 0.992
Br3 0.017 0.008 0.758
Br4 0.258 0.017 0.508
Br5 0.008 0.750 0.992
Br6 0.750 0.258 0.742
Br7 0.242 0.750 0.758
Br8 0.492 0.483 0.742
Br9 0.242 0.492 0.983
Br10 0.258 0.242 0.250
Br11 0.008 0.258 0.517
Br12 0.492 0.008 0.250
```

Values from the calculation:
Calculated volume   839 Å³/cell
E   -33.3067 eV per atom
DOS at the Fermi energy   13.2 states/eV/cell
Raw formation energy   -11.02 eV/f.u.



[2]
Entry from the Alexandria database: a crystal of BiMo3F relaxed with PBEsol (meta-GGA SCAN).

Structure (CIF):
```
data_BiMo3F
_chemical_formula_sum 'Bi1 Mo3 F1'
_cell_length_a 5.357
_cell_length_b 5.357
_cell_length_c 5.357
_cell_angle_alpha 90.00
_cell_angle_beta 90.00
_cell_angle_gamma 90.00
_symmetry_space_group_name_H-M 'P 1'
_symmetry_Int_Tables_number 1
_symmetry_space_group_name_Hall 'P 1'
loop_
_atom_site_label
_atom_site_fract_x
_atom_site_fract_y
_atom_site_fract_z
Mo1 0.000 0.500 0.000
Mo2 0.000 0.000 0.500
Mo3 0.500 0.000 0.000
Bi1 0.000 0.000 0.000
F1 0.500 0.500 0.500
```

Values from the calculation:
Calculated volume   154 Å³/cell
E   -35.1827 eV per atom
DOS at the Fermi energy   3.0 states/eV/cell
Raw formation energy   10.86 eV/f.u.



[3]
Entry from the Alexandria database: a crystal of ScRuPt2 relaxed with PBEsol (meta-GGA SCAN).

Structure (CIF):
```
data_ScRuPt2
_chemical_formula_sum 'Sc1 Ru1 Pt2'
_cell_length_a 2.795
_cell_length_b 2.795
_cell_length_c 9.609
_cell_angle_alpha 69.65
_cell_angle_beta 69.65
_cell_angle_gamma 64.18
_symmetry_space_group_name_H-M 'P 1'
_symmetry_Int_Tables_number 1
_symmetry_space_group_name_Hall 'P 1'
loop_
_atom_site_label
_atom_site_fract_x
_atom_site_fract_y
_atom_site_fract_z
Pt1 0.867 0.867 0.004
Pt2 0.740 0.740 0.741
Ru1 0.606 0.606 0.498
Sc1 0.287 0.287 0.257
```

Values from the calculation:
Calculated volume   62 Å³/cell
E   -47.5941 eV per atom
DOS at the Fermi energy   3.6 states/eV/cell
Calculated formation energy   -231.7 meV/atom



[4]
Entry from the Alexandria database: a crystal of Zn2AgCl relaxed with PBEsol (meta-GGA SCAN).

Structure (CIF):
```
data_Zn2AgCl
_chemical_formula_sum 'Zn2 Ag1 Cl1'
_cell_length_a 3.054
_cell_length_b 5.305
_cell_length_c 5.305
_cell_angle_alpha 65.03
_cell_angle_beta 73.27
_cell_angle_gamma 73.27
_symmetry_space_group_name_H-M 'P 1'
_symmetry_Int_Tables_number 1
_symmetry_space_group_name_Hall 'P 1'
loop_
_atom_site_label
_atom_site_fract_x
_atom_site_fract_y
_atom_site_fract_z
Zn1 0.253 0.747 0.747
Zn2 0.747 0.253 0.253
Ag1 0.500 0.000 0.000
Cl1 0.000 0.500 0.500
```

Values from the calculation:
Calculated volume   73 Å³/cell
E   -16.6162 eV per atom
DOS at the Fermi energy   0.7 states/eV/cell
E above lowest polymorph   134 meV/atom
Raw formation energy   -0.09 eV/f.u.



[5]
Entry from the Alexandria database: a crystal of MgTlNi2 relaxed with PBEsol (meta-GGA SCAN).

Structure (CIF):
```
data_MgTlNi2
_chemical_formula_sum 'Mg1 Tl1 Ni2'
_cell_length_a 3.188
_cell_length_b 3.188
_cell_length_c 5.787
_cell_angle_alpha 90.00
_cell_angle_beta 90.00
_cell_angle_gamma 90.00
_symmetry_space_group_name_H-M 'P 1'
_symmetry_Int_Tables_number 1
_symmetry_space_group_name_Hall 'P 1'
loop_
_atom_site_label
_atom_site_fract_x
_atom_site_fract_y
_atom_site_fract_z
Mg1 0.500 0.500 0.500
Ni1 0.000 0.000 0.744
Ni2 0.000 0.000 0.256
Tl1 0.500 0.500 0.000
```

Values from the calculation:
Calculated volume   59 Å³/cell
E   -27.3086 eV per atom
DOS at the Fermi energy   2.1 states/eV/cell
Calculated formation energy   111.1 meV/atom



[6]
Entry from the Alexandria database: a crystal of ZnCu2Au relaxed with PBEsol (meta-GGA SCAN).

Structure (CIF):
```
data_ZnCu2Au
_chemical_formula_sum 'Zn1 Cu2 Au1'
_cell_length_a 2.751
_cell_length_b 4.529
_cell_length_c 4.529
_cell_angle_alpha 107.94
_cell_angle_beta 90.00
_cell_angle_gamma 90.00
_symmetry_space_group_name_H-M 'P 1'
_symmetry_Int_Tables_number 1
_symmetry_space_group_name_Hall 'P 1'
loop_
_atom_site_label
_atom_site_fract_x
_atom_site_fract_y
_atom_site_fract_z
Zn1 0.500 0.000 0.000
Au1 0.500 0.500 0.500
Cu1 0.000 0.500 0.000
Cu2 0.000 0.000 0.500
```

Values from the calculation:
Calculated volume   54 Å³/cell
E   -28.3590 eV per atom
DOS at the Fermi energy   1.0 states/eV/cell
Calculated formation energy   -91.3 meV/atom